DFT (PBE-GGA) results for a geometry-optimized NdHo3Er2S6 structure.

Cell: 6.7597 11.7512 6.7666 Å, 90.00 109.50 90.00°
Closest atoms and distances in Å follow each position.
Space group C2/m (No. 12)
Symmetry-distinct sites (fractional):
Nd1 0.0000 0.0000 0.0000 [2 per cell]  6 S 2.83-2.85
Ho1 0.0000 0.1610 0.5000 [4 per cell]  6 S 2.73-2.78
Ho2 0.0000 0.5000 0.5000 [2 per cell]  6 S 2.70-2.78
Er1 0.0000 0.3344 0.0000 [4 per cell]  6 S 2.73-2.76
S1 0.2393 0.5000 0.2514 [4 per cell]  3 Ho 2.70-2.75, 2 Er 2.73, 1 Nd 2.83
S2 0.2425 0.3275 0.7446 [8 per cell]  3 Ho 2.73-2.78, 2 Er 2.75-2.76, 1 Nd 2.85

Computed properties:
* Fermi-level density of states: 9.46 states/eV/cell
* ρ: 7.64 g/cm3
* ΔE_f (raw): -1976 meV/atom